The following is a DFT calculation (GGA-PBE) of a relaxed SrGeAsPd2 crystal.

Its volume is 20.38 Å³/atom. For the calculated total energy, the calculation gives -5.027 eV/atom.

It has space group I4mm (No. 107), with a = 4.449 Å, b = 4.449 Å, c = 10.295 Å, α = 90.00°, β = 90.00° and γ = 90.00°. The distinct sites, in fractional coordinates, are Sr at (0.000, 0.000, 0.000), Ge at (0.000, 0.000, 0.371), As at (0.000, 0.000, 0.623) and Pd at (0.000, 0.500, 0.251).